Compound: TiHS2Cl
Source: the Alexandria database
Functional: GGA-PBE
Structure: relaxed

The structure in CIF format:
```
data_TiHS2Cl
_cell_length_a 3.7611
_cell_length_b 3.7611
_cell_length_c 5.0171
_cell_angle_alpha 90.00
_cell_angle_beta 90.00
_cell_angle_gamma 90.00
_space_group_name_H-M_alt 'P 4/m m m'
_space_group_IT_number 123
_space_group_name_Hall '-P 4 2'
loop_
_atom_site_label
_atom_site_type_symbol
_atom_site_fract_x
_atom_site_fract_y
_atom_site_fract_z
Ti1 Ti 0.0000 0.0000 0.0000
H1 H 0.5000 0.5000 0.5000
S1 S 0.0000 0.5000 0.5000
Cl1 Cl 0.5000 0.5000 0.0000
```

Calculated values
Energy above the lowest structure with this stoichiometry   395 meV/atom
Total energy   -4.04 eV/atom